1.
Compound: ZnRe2Pb
Source: Alexandria via LeMat-Bulk
Functional: meta-GGA SCAN
Structure: PBEsol geometry

The value obtained for the electronic total energy is -57.16 eV/atom. As for the crystal system: monoclinic. Its energy of formation from the pure elements is 0.7122 eV per atom.

The space group is Cm (No. 8) and the conventional cell measures 8.234, 3.152 and 5.730 Å, with angles of 90.00, 98.97 and 90.00 degrees. The inequivalent atoms are Zn at (0.000, 0.000, 0.000), Re at (0.245, 0.500, 0.218), Re at (0.468, 0.000, 0.373) and Pb at (0.232, 0.000, 0.703).

***

2.
Compound: ZnRe2Pb
Source: Alexandria via LeMat-Bulk
Functional: meta-GGA SCAN
Structure: PBEsol geometry

The value obtained for the electronic total energy is -56.73 eV/atom. As for the crystal system: orthorhombic. Its energy of formation from the pure elements is 1.1474 eV per atom.

The space group is Cmmm (No. 65) and the conventional cell measures 5.348, 8.381 and 2.957 Å, with angles of 90.00, 90.00 and 90.00 degrees. The inequivalent atoms are Zn at (0.000, 0.000, 0.000), Re at (0.250, 0.250, 0.500) and Pb at (0.000, 0.500, 0.000).

***

3.
Compound: ZnRePb2
Source: Alexandria via LeMat-Bulk
Functional: meta-GGA SCAN
Structure: PBEsol geometry

The value obtained for the electronic total energy is -58.01 eV/atom. As for the crystal system: tetragonal. Its energy of formation from the pure elements is 1.0325 eV per atom.

The space group is I-4m2 (No. 119) and the conventional cell measures 4.180, 4.180 and 9.123 Å, with angles of 90.00, 90.00 and 90.00 degrees. The inequivalent atoms are Zn at (0.000, 0.000, 0.000), Re at (0.000, 0.500, 0.750), Pb at (0.000, 0.000, 0.500) and Pb at (0.000, 0.500, 0.250).

***

4.
Compound: ZrRe2Pb
Source: Alexandria via LeMat-Bulk
Functional: meta-GGA SCAN
Structure: PBEsol geometry

The value obtained for the electronic total energy is -61.61 eV/atom. As for the crystal system: monoclinic. Its energy of formation from the pure elements is 0.5554 eV per atom.

The space group is C2/m (No. 12) and the conventional cell measures 5.867, 9.404 and 2.908 Å, with angles of 90.00, 117.62 and 90.00 degrees. The inequivalent atoms are Zr at (0.000, 0.000, 0.000), Re at (0.250, 0.250, 0.500) and Pb at (0.000, 0.500, 0.000).